Below is a geometry-optimized Ca2LaCuO structure, with properties calculated at the PBE-GGA level.

Output
Raw formation energy in kJ/mol of formula units: -524

a = 4.659 Å, b = 4.659 Å, c = 5.280 Å
α = 90.00°, β = 90.00°, γ = 90.00°
Space group P4/mmm (No. 123)
Symmetry-distinct sites (fractional):
Ca1 0.000 0.500 0.000
La1 0.000 0.000 0.500
Cu1 0.500 0.500 0.500
O1 0.000 0.000 0.000

***

Below is a geometry-optimized NaNpNiS3 structure, with properties calculated at the PBE-GGA level.

Output
Raw formation energy in kJ/mol of formula units: -618

a = 8.065 Å, b = 3.860 Å, c = 8.598 Å
α = 90.00°, β = 103.41°, γ = 90.00°
Space group P2_1/m (No. 11)
Symmetry-distinct sites (fractional):
Na1 0.188 0.250 0.230
Np1 0.321 0.750 0.833
Ni1 0.084 0.250 0.584
S1 0.104 0.250 0.855
S2 0.203 0.750 0.522
S3 0.439 0.750 0.159

***

Below is a geometry-optimized UAu2I6 structure, with properties calculated at the PBE-GGA level.

Output
Raw formation energy in kJ/mol of formula units: -411

a = 15.273 Å, b = 15.856 Å, c = 7.574 Å
α = 90.00°, β = 97.23°, γ = 90.00°
Space group C2/c (No. 15)
Symmetry-distinct sites (fractional):
U1 0.000 0.079 0.250
Au1 0.100 0.499 0.286
I1 0.112 0.388 0.542
I2 0.113 0.064 0.611
I3 0.121 0.202 0.139

***

Below is a geometry-optimized YSe structure, with properties calculated at the PBE-GGA level.

Output
Raw formation energy in kJ/mol of formula units: -230

a = 7.850 Å, b = 7.850 Å, c = 7.850 Å
α = 90.00°, β = 90.00°, γ = 90.00°
Space group Pm-3n (No. 223)
Symmetry-distinct sites (fractional):
Y1 0.000 0.250 0.500
Se1 0.000 0.500 0.250